! Pu2In5Br12, optimized geometry, DFT PBE-GGA; values from VASP
! ρ: 4.7 Mg/m³
! Uncorrected energy: -4.289 eV/atom
! Raw formation energy: -1.003 eV per atom
! Total magnetization: 11.0 μB per formula unit
&SYSTEM
  ibrav = 0, nat = 19, ntyp = 3
/
ATOMIC_SPECIES
Br 79.90 Br.upf
Pu 244.00 Pu.upf
In 114.82 In.upf
CELL_PARAMETERS angstrom
-8.3018 -0.0449 -2.6798
1.8593 -5.0744 8.5246
-0.6702 9.5915 1.9154
ATOMIC_POSITIONS angstrom
Br 0.3009 0.1166 7.0912
Br -6.9476 2.5966 7.2801
Br -2.7216 4.3809 2.1836
Br -2.7750 2.5763 8.5536
Pu -2.1261 -0.0115 -0.6863
In -1.5653 -1.6577 4.8769
In -1.6309 3.3066 4.9971
Br -4.3377 1.8958 -0.7934
Br -0.1651 1.8754 0.4801
In -5.5474 6.1298 2.8833
Br -6.9397 -0.8334 0.6735
In -5.4818 1.1655 2.7632
Br -7.4136 4.3555 0.6690
Pu -6.1757 -0.0334 -1.9935
Br -4.0550 5.2844 5.8337
Br -0.1730 5.3055 7.0868
In -0.3351 4.7957 0.9577
Br -3.0577 -0.8124 1.9266
Br -4.3911 0.0912 5.5767